Entry 1:
Here is a relaxed structure of LiDyPbBr6 from Alexandria. Energies are from GGA-PBE.

extended XYZ file:
```
18
Lattice="7.132 0.000 0.000 -3.566 6.177 0.000 0.000 0.000 13.238" Properties=species:S:1:pos:R:3 pbc="T T T"
Li 0.000 4.118 3.309
Li 3.566 2.059 9.928
Dy 3.566 2.059 3.309
Dy 0.000 4.118 9.928
Pb 0.000 0.000 0.000
Pb 0.000 0.000 6.619
Br 2.275 3.995 1.732
Br -1.244 2.209 1.732
Br 2.535 0.027 8.351
Br 4.810 3.967 11.505
Br 1.244 2.209 4.886
Br -2.275 3.995 4.886
Br 4.597 0.027 11.505
Br 1.031 6.149 4.886
Br 5.841 2.182 8.351
Br -1.031 6.149 1.732
Br 2.322 3.967 8.351
Br 1.291 2.182 11.505
```

Results
Its total energy is -3.713 eV per atom. As for the space-group type: P-31c (163). Its density is 4.876 g/cm³.

***

Entry 2:
Here is a relaxed structure of RbLi2DyBr6 from Alexandria. Energies are from GGA-PBE.

extended XYZ file:
```
10
Lattice="-5.200 -0.575 -5.174 1.694 -2.675 -6.610 -2.628 -7.340 -1.791" Properties=species:S:1:pos:R:3 pbc="T T T"
Rb -4.399 -7.049 -10.482
Li -2.961 -4.830 -6.949
Li -2.570 -7.154 -1.838
Dy -1.219 -1.285 -3.862
Br -3.218 -2.762 -5.208
Br -0.455 -4.321 -7.833
Br -4.373 -3.811 -9.034
Br -2.404 -7.729 -7.908
Br -5.524 -6.478 -6.386
Br -2.402 -6.540 -4.417
```

Results
Its total energy is -3.635 eV per atom. As for the space-group type: P1 (1). Its density is 3.891 g/cm³.

***

Entry 3:
Here is a relaxed structure of Rb2LiDyBr6 from Alexandria. Energies are from GGA-PBE.

extended XYZ file:
```
10
Lattice="7.842 0.000 0.000 3.921 6.791 0.000 3.921 2.264 6.403" Properties=species:S:1:pos:R:3 pbc="T T T"
Rb 3.921 2.264 1.601
Rb 11.762 6.791 4.802
Li 7.842 4.527 3.201
Dy 0.000 0.000 0.000
Br 7.842 2.279 1.611
Br 5.894 3.403 4.791
Br 9.789 3.403 4.791
Br 5.894 5.652 1.611
Br 9.789 5.652 1.611
Br 7.842 6.776 4.791
```

Results
Its total energy is -3.625 eV per atom. As for the space-group type: Fm-3m (225). Its density is 3.993 g/cm³.

***

Entry 4:
Here is a relaxed structure of Rb2LiDyBr6 from Alexandria. Energies are from GGA-PBE.

extended XYZ file:
```
20
Lattice="7.776 0.000 -0.017 0.000 7.873 0.000 0.046 0.000 11.047" Properties=species:S:1:pos:R:3 pbc="T T T"
Rb 0.088 7.553 2.769
Rb 3.999 4.257 8.284
Rb 7.734 0.320 8.261
Rb 3.823 3.616 2.746
Li 3.888 0.000 -0.009
Li 0.023 3.936 5.524
Dy 3.911 0.000 5.515
Dy 0.000 3.936 0.000
Br 2.226 5.617 0.310
Br 6.137 6.192 5.825
Br 5.596 2.256 10.720
Br 1.685 1.681 5.205
Br 2.255 5.625 5.219
Br 6.167 6.185 10.734
Br 5.567 2.248 5.811
Br 1.656 1.688 0.296
Br 7.365 3.984 2.756
Br 3.500 7.825 8.289
Br 0.457 3.888 8.274
Br 4.322 0.048 2.741
```

Results
Its total energy is -3.633 eV per atom. As for the space-group type: P2_1/c (14). Its density is 4.026 g/cm³.

***

Entry 5:
Here is a relaxed structure of LiDySnBr6 from Alexandria. Energies are from GGA-PBE.

extended XYZ file:
```
18
Lattice="-0.390 -0.556 -7.071 -2.501 -5.220 4.117 -11.779 5.798 0.194" Properties=species:S:1:pos:R:3 pbc="T T T"
Li -4.743 -2.216 0.436
Li -9.929 2.238 -3.196
Dy -4.039 -0.661 -3.293
Dy -10.632 0.683 0.533
Sn 0.000 0.000 0.000
Sn -5.890 2.899 0.097
Br -3.408 -3.001 -1.865
Br -2.417 -1.097 1.452
Br -7.568 3.433 -2.363
Br -12.254 1.119 -4.212
Br -5.382 0.104 -0.944
Br -5.988 -1.251 2.719
Br -10.514 4.661 -4.411
Br -7.103 -3.411 -0.396
Br -8.683 1.272 -5.478
Br -4.157 -4.640 1.651
Br -9.289 -0.082 -1.816
Br -11.263 3.022 -0.894
```

Results
Its total energy is -3.690 eV per atom. As for the space-group type: P-31c (163). Its density is 4.443 g/cm³.

***

Entry 6:
Here is a relaxed structure of Li2DyTlBr6 from Alexandria. Energies are from GGA-PBE.

extended XYZ file:
```
10
Lattice="7.297 0.000 0.001 3.648 6.318 0.000 3.648 2.105 6.671" Properties=species:S:1:pos:R:3 pbc="T T T"
Li 7.297 4.213 2.991
Li 3.647 2.106 6.507
Dy 3.649 2.106 0.209
Tl 10.944 6.316 3.956
Br 6.122 2.140 1.561
Br 6.090 6.265 1.561
Br 9.679 4.230 1.561
Br 7.903 6.262 5.037
Br 8.771 2.660 5.037
Br 5.217 3.710 5.037
```

Results
Its total energy is -3.594 eV per atom. As for the space-group type: R3 (146). Its density is 4.645 g/cm³.

***

Entry 7:
Here is a relaxed structure of DyMgBr from Alexandria. Energies are from GGA-PBE.

extended XYZ file:
```
6
Lattice="3.656 0.000 0.000 -1.828 3.165 0.000 0.000 0.000 15.748" Properties=species:S:1:pos:R:3 pbc="T T T"
Mg 0.000 2.810 0.000
Mg 0.000 2.813 7.874
Dy 1.828 1.759 5.276
Dy 1.828 1.759 10.472
Br 0.000 0.704 12.502
Br 0.000 0.704 3.245
```

Results
Its total energy is -3.237 eV per atom. As for the space-group type: P-6m2 (187). Its density is 4.861 g/cm³.

***

Entry 8:
Here is a relaxed structure of Dy2MgBr from Alexandria. Energies are from GGA-PBE.

extended XYZ file:
```
4
Lattice="3.453 0.000 0.000 1.727 2.991 0.000 1.727 0.997 11.318" Properties=species:S:1:pos:R:3 pbc="T T T"
Mg 0.000 0.000 0.000
Br 3.453 1.994 5.659
Dy 1.727 0.997 8.035
Dy 5.180 2.991 3.283
```

Results
Its total energy is -3.335 eV per atom. As for the space-group type: R-3m (166). Its density is 6.097 g/cm³.

***

Entry 9:
Here is a relaxed structure of NaDyMgBr6 from Alexandria. Energies are from GGA-PBE.

extended XYZ file:
```
18
Lattice="7.064 0.000 0.000 -3.532 6.117 0.000 0.000 0.000 13.352" Properties=species:S:1:pos:R:3 pbc="T T T"
Na 0.000 0.000 0.000
Na 0.000 0.000 6.676
Dy 3.532 2.039 3.338
Dy 0.000 4.078 10.014
Mg 0.000 4.078 3.338
Mg 3.532 2.039 10.014
Br 2.208 3.962 1.771
Br -1.204 2.224 1.771
Br 2.528 0.069 8.447
Br 4.736 3.893 11.580
Br 1.204 2.224 4.905
Br -2.208 3.962 4.905
Br 4.535 0.069 11.580
Br 1.003 6.048 4.905
Br 5.739 2.155 8.447
Br -1.003 6.048 1.771
Br 2.328 3.893 8.447
Br 1.324 2.155 11.580
```

Results
Its total energy is -3.616 eV per atom. As for the space-group type: P-31c (163). Its density is 3.967 g/cm³.

***

Entry 10:
Here is a relaxed structure of RbDyMgBr6 from Alexandria. Energies are from GGA-PBE.

extended XYZ file:
```
18
Lattice="7.173 0.000 0.000 -3.587 6.212 0.000 0.000 0.000 15.436" Properties=species:S:1:pos:R:3 pbc="T T T"
Rb 0.000 0.000 0.000
Rb 0.000 0.000 7.718
Dy 3.587 2.071 3.859
Dy 0.000 4.141 11.577
Mg 0.000 4.141 3.859
Mg 3.587 2.071 11.577
Br 2.186 3.919 2.265
Br -1.286 2.360 2.265
Br 2.687 0.066 9.983
Br 4.872 3.852 13.171
Br 1.286 2.360 5.453
Br -2.186 3.919 5.453
Br 4.486 0.066 13.171
Br 0.900 6.146 5.453
Br 5.772 2.294 9.983
Br -0.900 6.146 2.265
Br 2.301 3.852 9.983
Br 1.401 2.294 13.171
```

Results
Its total energy is -3.649 eV per atom. As for the space-group type: P-31c (163). Its density is 3.630 g/cm³.

***

Entry 11:
Here is a relaxed structure of NaDyMnBr6 from Alexandria. Energies are from GGA-PBE.

extended XYZ file:
```
18
Lattice="-2.206 5.682 -3.514 -4.652 -4.124 3.295 1.327 7.406 11.142" Properties=species:S:1:pos:R:3 pbc="T T T"
Na 0.000 0.000 0.000
Na 0.664 3.703 5.571
Dy -3.505 0.996 3.811
Dy -2.026 7.968 7.112
Mn -2.689 4.265 1.541
Mn -2.841 4.699 9.382
Br -4.220 2.044 1.303
Br -3.637 5.155 -0.834
Br -4.532 2.606 9.077
Br -1.894 3.809 11.757
Br -1.946 3.330 3.971
Br -4.659 5.705 2.715
Br -4.854 5.966 10.676
Br -0.998 6.357 1.846
Br -0.872 3.259 8.208
Br -0.677 2.998 0.247
Br -3.585 5.634 6.952
Br -1.310 6.920 9.620
```

Results
Its total energy is -4.226 eV per atom. As for the space-group type: P-31c (163). Its density is 4.148 g/cm³.

***

Entry 12:
Here is a relaxed structure of RbDyMnBr6 from Alexandria. Energies are from GGA-PBE.

extended XYZ file:
```
18
Lattice="-0.758 -4.569 -5.108 2.393 -2.051 6.133 -14.712 -2.895 4.772" Properties=species:S:1:pos:R:3 pbc="T T T"
Rb 0.000 0.000 0.000
Rb -7.356 -1.447 2.386
Dy -2.335 -3.614 3.579
Dy -10.741 -5.901 2.218
Mn -3.386 -4.453 -0.168
Mn -9.691 -5.061 5.965
Br -1.266 -4.677 1.209
Br -2.148 -5.593 -2.068
Br -7.556 -5.484 7.270
Br -10.928 -3.921 7.865
Br -4.551 -3.467 1.859
Br -4.357 -6.702 0.495
Br -10.606 -7.265 6.828
Br -5.521 -4.031 -1.473
Br -8.720 -2.813 5.302
Br -2.470 -2.249 -1.031
Br -8.526 -6.047 3.938
Br -11.811 -4.838 4.588
```

Results
Its total energy is -3.985 eV per atom. As for the space-group type: P-31c (163). Its density is 4.010 g/cm³.

***

Entry 13:
Here is a relaxed structure of DyMnTlBr6 from Alexandria. Energies are from GGA-PBE.

extended XYZ file:
```
18
Lattice="-5.882 -3.945 1.012 2.251 1.427 -6.639 8.197 -12.181 0.162" Properties=species:S:1:pos:R:3 pbc="T T T"
Dy -1.121 -5.200 -1.498
Dy 5.688 -9.499 -3.967
Mn 1.590 -3.409 -4.048
Mn 2.977 -11.290 -1.417
Tl 0.000 0.000 0.000
Tl 4.099 -6.090 0.081
Br -1.072 -3.281 -3.555
Br 1.947 -1.235 -2.470
Br 3.068 -9.291 0.412
Br 2.620 -13.464 -2.994
Br 1.631 -5.268 -2.076
Br 4.297 -3.501 -4.139
Br 3.330 -12.937 0.707
Br 1.499 -5.407 -5.877
Br 0.270 -11.198 -1.326
Br 1.236 -1.762 -6.171
Br 2.936 -9.431 -3.389
Br 5.639 -11.418 -1.910
```

Results
Its total energy is -4.203 eV per atom. As for the space-group type: P-31c (163). Its density is 4.599 g/cm³.

***

Entry 14:
Here is a relaxed structure of DyBr3N from Alexandria. Energies are from GGA-PBE.

extended XYZ file:
```
10
Lattice="7.134 0.327 -1.445 3.402 6.454 -0.143 -1.436 0.701 9.008" Properties=species:S:1:pos:R:3 pbc="T T T"
Dy 6.402 2.696 3.468
Dy 6.265 6.879 3.867
Br 1.183 2.368 2.857
Br 4.353 6.881 5.924
Br 4.482 2.208 5.479
Br 5.077 4.882 2.280
Br 4.784 0.912 2.000
Br 7.590 4.693 5.056
N 3.781 4.010 8.168
N 8.883 5.568 -0.836
```

Results
Its total energy is -4.064 eV per atom. As for the space-group type: P-1 (2). Its density is 3.557 g/cm³.

***

Entry 15:
Here is a relaxed structure of Dy7Br12N from Alexandria. Energies are from GGA-PBE.

extended XYZ file:
```
20
Lattice="8.542 -0.205 -2.615 -3.479 7.804 -2.615 -0.137 -0.205 8.933" Properties=species:S:1:pos:R:3 pbc="T T T"
Dy 5.704 5.100 3.664
Dy 2.186 0.718 -0.758
Dy 0.709 0.166 2.311
Dy 2.463 3.697 1.851
Dy 4.217 7.229 1.392
Dy 2.740 6.676 4.461
Dy -0.778 2.294 0.038
Br 6.686 2.082 3.687
Br 5.085 1.608 -1.695
Br 3.413 1.009 1.831
Br 5.038 4.507 0.933
Br 1.566 0.422 5.356
Br 3.274 3.855 4.580
Br 1.652 3.539 -0.877
Br 3.360 6.972 -1.654
Br -0.111 2.888 2.770
Br 1.513 6.385 1.872
Br -0.159 5.786 5.397
Br -1.760 5.312 0.015
N 0.000 0.000 0.000
```

Results
Its total energy is -4.685 eV per atom. As for the space-group type: R-3 (148). Its density is 6.044 g/cm³.

***

Entry 16:
Here is a relaxed structure of Dy4Br5N from Alexandria. Energies are from GGA-PBE.

extended XYZ file:
```
10
Lattice="-0.316 -0.945 -3.613 7.079 3.542 -1.546 2.482 -7.795 3.766" Properties=species:S:1:pos:R:3 pbc="T T T"
Dy 0.961 -2.476 -1.381
Dy 3.564 -8.014 -0.160
Dy 8.284 -2.722 -0.013
Dy 5.680 2.816 -1.234
Br 3.175 -1.484 0.110
Br 6.619 0.102 -0.606
Br 2.625 -5.300 -0.788
Br 3.381 1.299 -2.580
Br 6.069 -3.714 -1.504
N -0.158 -0.473 -1.807
```

Results
Its total energy is -5.097 eV per atom. As for the space-group type: C2/m (12). Its density is 6.804 g/cm³.

***

Entry 17:
Here is a relaxed structure of Dy2BrN from Alexandria. Energies are from GGA-PBE.

extended XYZ file:
```
4
Lattice="3.585 0.000 0.000 1.792 3.104 0.000 1.792 1.035 7.073" Properties=species:S:1:pos:R:3 pbc="T T T"
Dy 1.792 1.035 5.830
Dy 1.792 1.035 1.283
Br 3.585 2.070 3.566
N 5.377 3.104 7.003
```

Results
Its total energy is -6.217 eV per atom. As for the space-group type: R3m (160). Its density is 8.838 g/cm³.

***

Entry 18:
Here is a relaxed structure of Nd2DyBr2N2 from Alexandria. Energies are from GGA-PBE.

extended XYZ file:
```
7
Lattice="-3.998 1.207 -1.659 -1.367 -4.277 0.182 -0.152 2.769 8.468" Properties=species:S:1:pos:R:3 pbc="T T T"
Nd -2.330 1.014 6.353
Nd -3.187 -1.315 0.638
Dy 0.000 0.000 0.000
Br -1.001 0.436 2.729
Br -4.516 -0.737 4.262
N -0.683 -2.139 0.091
N -1.999 0.604 -0.829
```

Results
Its total energy is -6.232 eV per atom. As for the space-group type: I4/mmm (139). Its density is 6.310 g/cm³.

***

Entry 19:
Here is a relaxed structure of PmDyBrN from Alexandria. Energies are from GGA-PBE.

extended XYZ file:
```
4
Lattice="-2.445 -2.698 -0.069 3.214 -0.407 -1.670 3.376 -0.770 6.674" Properties=species:S:1:pos:R:3 pbc="T T T"
Pm 1.541 -1.967 4.252
Dy 2.953 -0.644 -1.304
Br 0.055 -3.010 1.649
N 4.036 -1.786 5.027
```

Results
Its total energy is -6.264 eV per atom. As for the space-group type: R3m (160). Its density is 8.037 g/cm³.

***

Entry 20:
Here is a relaxed structure of PrDyBrN from Alexandria. Energies are from GGA-PBE.

extended XYZ file:
```
4
Lattice="-1.119 2.726 -2.174 -0.844 -3.472 -0.826 -5.168 -0.089 5.637" Properties=species:S:1:pos:R:3 pbc="T T T"
Pr -4.216 0.800 2.594
Dy -1.099 -3.037 -0.732
Br -3.164 1.268 -0.442
N -5.515 -1.139 3.924
```

Results
Its total energy is -6.263 eV per atom. As for the space-group type: R3m (160). Its density is 7.724 g/cm³.